1.
Material: PaGaP2N6
Method: DFT, GGA-PBE
State: optimized geometry

Geometry as POSCAR:
```
PaGaP2N6
1.0
5.5818 0.0609 0.0632
1.8649 6.6906 -0.0159
1.8649 -0.2638 6.6854
N P Ga Pa
12 4 2 2
Direct
0.4710 0.3714 0.2920
0.6707 0.7937 0.9726
0.8293 0.0274 0.2063
0.3293 0.2063 0.0274
0.0290 0.7080 0.6286
0.5971 0.1688 0.6022
0.1707 0.9726 0.7937
0.9710 0.2920 0.3714
0.4029 0.8312 0.3978
0.5290 0.6286 0.7080
0.0971 0.6022 0.1688
0.9029 0.3978 0.8312
0.7080 0.2280 0.3706
0.2080 0.3706 0.2280
0.2920 0.7720 0.6294
0.7920 0.6294 0.7720
0.2500 0.2409 0.7591
0.7500 0.7591 0.2409
0.7500 0.1258 0.8742
0.2500 0.8742 0.1258
```

Computed properties:
Space-group type: C2/c
E_form (uncorrected) (eV/atom): -0.60

***

2.
Material: GaPPb2N
Method: DFT, GGA-PBE
State: optimized geometry

Geometry as POSCAR:
```
GaPPb2N
1.0
5.7242 0.0000 0.0000
0.0000 3.5688 0.0000
0.0000 0.0000 5.7242
Pb N Ga P
2 1 1 1
Direct
0.5000 0.0000 0.0000
0.0000 0.0000 0.5000
0.0000 0.5000 0.0000
0.0000 0.0000 0.0000
0.5000 0.5000 0.5000
```

Computed properties:
Space-group type: P4/mmm
E_form (uncorrected) (eV/atom): 0.70

***

no.,V (Å³/cell)
1,248.1
2,116.9